Version 1
# Ba2NaCu

An optimized crystal structure of Ba2NaCu (GGA-PBE, Alexandria).

Calculated values
- space group = Fm-3m
- M_tot (Bohr magnetons per cell) = 0.0

Cell: 6.020 6.020 6.020 Å, 60.00 60.00 60.00°
Positions (direct):
Ba: 0.250 0.250 0.250
Ba: 0.750 0.750 0.750
Na: 0.000 0.000 0.000
Cu: 0.500 0.500 0.500

Version 2
# Ba2NaCu

An optimized crystal structure of Ba2NaCu (GGA-PBE, Alexandria).

Calculated values
- space group = I-42d
- M_tot (Bohr magnetons per cell) = 0.0

Cell: 7.829 7.829 7.829 Å, 105.24 105.24 118.31°
Positions (direct):
Ba: 0.060 0.625 0.935
Ba: 0.375 0.310 0.435
Ba: 0.690 0.125 0.065
Ba: 0.875 0.940 0.565
Na: 0.250 0.750 0.500
Na: 0.500 0.500 0.000
Cu: 0.000 0.000 0.000
Cu: 0.750 0.250 0.500

The structure with the most favorable energy is version 1; the runner-up is 59 meV/atom above it.